Entry 1:
A relaxed structure of SrMnNb2As. Source: Alexandria via LeMat-Bulk, functional GGA-PBE.

```
data_SrMnNb2As
_chemical_formula_sum 'Sr1 Mn1 Nb2 As1'
_cell_length_a 4.775
_cell_length_b 4.775
_cell_length_c 4.676
_cell_angle_alpha 90.00
_cell_angle_beta 90.00
_cell_angle_gamma 90.00
_space_group_name_H-M_alt 'P 1'
_space_group_IT_number 1
loop_
_space_group_symop_operation_xyz
'x,y,z'
loop_
_atom_site_label
_atom_site_type_symbol
_atom_site_fract_x
_atom_site_fract_y
_atom_site_fract_z
Sr1 Sr 0.000 0.000 0.000
Mn1 Mn 0.500 0.500 0.500
Nb1 Nb 0.000 0.500 0.500
Nb2 Nb 0.500 0.000 0.500
As1 As 0.500 0.500 0.000
```

## Properties
Energy of formation, eV per formula unit: 2.75
Total magnetization, μB/f.u.: 0.00

Entry 2:
A relaxed structure of TaMnNbAs2. Source: Alexandria via LeMat-Bulk, functional GGA-PBE.

```
data_TaMnNbAs2
_chemical_formula_sum 'Ta1 Mn1 Nb1 As2'
_cell_length_a 4.875
_cell_length_b 4.875
_cell_length_c 4.957
_cell_angle_alpha 90.00
_cell_angle_beta 90.00
_cell_angle_gamma 90.00
_space_group_name_H-M_alt 'P 1'
_space_group_IT_number 1
loop_
_space_group_symop_operation_xyz
'x,y,z'
loop_
_atom_site_label
_atom_site_type_symbol
_atom_site_fract_x
_atom_site_fract_y
_atom_site_fract_z
Ta1 Ta 0.000 0.000 0.000
Mn1 Mn 0.500 0.500 0.000
Nb1 Nb 0.000 0.000 0.500
As1 As 0.000 0.500 0.500
As2 As 0.500 0.000 0.500
```

## Properties
Energy of formation, eV per formula unit: 7.81
Total magnetization, μB/f.u.: 0.06

Entry 3:
A relaxed structure of MnNb2AsW. Source: Alexandria via LeMat-Bulk, functional GGA-PBE.

```
data_MnNb2AsW
_chemical_formula_sum 'Mn1 Nb2 As1 W1'
_cell_length_a 4.872
_cell_length_b 4.872
_cell_length_c 4.670
_cell_angle_alpha 90.00
_cell_angle_beta 90.00
_cell_angle_gamma 90.00
_space_group_name_H-M_alt 'P 1'
_space_group_IT_number 1
loop_
_space_group_symop_operation_xyz
'x,y,z'
loop_
_atom_site_label
_atom_site_type_symbol
_atom_site_fract_x
_atom_site_fract_y
_atom_site_fract_z
Mn1 Mn 0.000 0.000 0.000
Nb1 Nb 0.000 0.500 0.500
Nb2 Nb 0.500 0.000 0.500
As1 As 0.500 0.500 0.000
W1 W 0.000 0.000 0.500
```

## Properties
Energy of formation, eV per formula unit: 6.77
Total magnetization, μB/f.u.: 2.56
Energy above the lowest structure with this stoichiometry, meV per atom: 431

Entry 4:
A relaxed structure of MnNb2AsW. Source: Alexandria via LeMat-Bulk, functional GGA-PBE.

```
data_MnNb2AsW
_chemical_formula_sum 'Mn1 Nb2 As1 W1'
_cell_length_a 4.755
_cell_length_b 4.755
_cell_length_c 4.221
_cell_angle_alpha 90.00
_cell_angle_beta 90.00
_cell_angle_gamma 90.00
_space_group_name_H-M_alt 'P 1'
_space_group_IT_number 1
loop_
_space_group_symop_operation_xyz
'x,y,z'
loop_
_atom_site_label
_atom_site_type_symbol
_atom_site_fract_x
_atom_site_fract_y
_atom_site_fract_z
Mn1 Mn 0.000 0.000 0.000
Nb1 Nb 0.000 0.500 0.500
Nb2 Nb 0.500 0.000 0.500
As1 As 0.000 0.000 0.500
W1 W 0.500 0.500 0.000
```

## Properties
Energy of formation, eV per formula unit: 4.62
Total magnetization, μB/f.u.: 2.84
Energy above the lowest structure with this stoichiometry, meV per atom: 0

Entry 5:
A relaxed structure of NdMnAs2. Source: Alexandria via LeMat-Bulk, functional GGA-PBE.

```
data_NdMnAs2
_chemical_formula_sum 'Nd3 Mn3 As6'
_cell_length_a 4.007
_cell_length_b 4.007
_cell_length_c 18.041
_cell_angle_alpha 90.00
_cell_angle_beta 90.00
_cell_angle_gamma 120.00
_space_group_name_H-M_alt 'P 1'
_space_group_IT_number 1
loop_
_space_group_symop_operation_xyz
'x,y,z'
loop_
_atom_site_label
_atom_site_type_symbol
_atom_site_fract_x
_atom_site_fract_y
_atom_site_fract_z
Nd1 Nd 0.000 0.000 0.000
Nd2 Nd 0.333 0.667 0.667
Nd3 Nd 0.667 0.333 0.333
Mn1 Mn 0.000 0.000 0.500
Mn2 Mn 0.333 0.667 0.167
Mn3 Mn 0.667 0.333 0.833
As1 As 0.000 0.000 0.231
As2 As 0.000 0.000 0.769
As3 As 0.333 0.667 0.436
As4 As 0.333 0.667 0.898
As5 As 0.667 0.333 0.102
As6 As 0.667 0.333 0.564
```

## Properties
Energy of formation, eV per formula unit: -2.73
Total magnetization, μB/f.u.: 2.75
Energy above the lowest structure with this stoichiometry, meV per atom: 102

Entry 6:
A relaxed structure of NdMnAs2. Source: Alexandria via LeMat-Bulk, functional GGA-PBE.

```
data_NdMnAs2
_chemical_formula_sum 'Nd4 Mn4 As8'
_cell_length_a 3.904
_cell_length_b 3.904
_cell_length_c 20.893
_cell_angle_alpha 90.00
_cell_angle_beta 90.00
_cell_angle_gamma 90.00
_space_group_name_H-M_alt 'P 1'
_space_group_IT_number 1
loop_
_space_group_symop_operation_xyz
'x,y,z'
loop_
_atom_site_label
_atom_site_type_symbol
_atom_site_fract_x
_atom_site_fract_y
_atom_site_fract_z
Nd1 Nd 0.000 0.000 0.115
Nd2 Nd 0.000 0.000 0.885
Nd3 Nd 0.500 0.500 0.385
Nd4 Nd 0.500 0.500 0.615
Mn1 Mn 0.000 0.500 0.250
Mn2 Mn 0.000 0.500 0.750
Mn3 Mn 0.500 0.000 0.250
Mn4 Mn 0.500 0.000 0.750
As1 As 0.000 0.000 0.321
As2 As 0.000 0.000 0.679
As3 As 0.000 0.500 0.000
As4 As 0.000 0.500 0.500
As5 As 0.500 0.000 0.000
As6 As 0.500 0.000 0.500
As7 As 0.500 0.500 0.179
As8 As 0.500 0.500 0.821
```

## Properties
Energy of formation, eV per formula unit: -3.14
Total magnetization, μB/f.u.: 1.91
Energy above the lowest structure with this stoichiometry, meV per atom: 0